No. 1
# Os2RuRh

Crystalline Os2RuRh at its relaxed geometry (PBE-GGA, Alexandria).

abc: 4.199 2.695 5.232
angles: 75.11 90.00 90.00
Fractional positions:
1 Os 0.000 0.953 0.969
2 Rh 0.000 0.696 0.482
3 Ru 0.500 0.553 0.769
4 Os 0.500 0.297 0.281

Computed properties:
DOS(E_F): 3.6 states/eV per cell
Formation energy: 208 meV/atom
SG: No. 38

No. 2
# SrBrCl2

Crystalline SrBrCl2 at its relaxed geometry (PBE-GGA, Alexandria).

abc: 5.318 5.318 5.318
angles: 60.00 60.00 60.00
Site moments in Bohr magnetons follow the coordinates.
Fractional positions:
1 Br 0.000 0.000 0.000  0.48
2 Cl 0.250 0.250 0.250  0.15
3 Sr 0.500 0.500 0.500  0.00
4 Cl 0.750 0.750 0.750  0.15

Computed properties:
DOS(E_F): 8.2 states/eV per cell
ΔE_f (raw): -32.73 kcal/mol of atoms
SG: No. 225

Which value of DOS(E_F) does entry 1 give?
3.6 states/eV per cell

Which of these has the lowest DOS(E_F)?
Os2RuRh